Entry 1:
# GdCu2Ge2

A PBEsol-optimized structure of GdCu2Ge2 (meta-GGA SCAN, Alexandria).

Unit cell a=5.818 b=5.818 c=5.818 alpha=139.52 beta=139.52 gamma=58.59
Atoms (fractional coordinates):
Gd1 0.000 0.000 0.000
Cu1 0.250 0.750 0.500
Cu2 0.750 0.250 0.500
Ge1 0.379 0.379 0.000
Ge2 0.621 0.621 0.000

Values from the calculation:
**Formation energy**: -581 meV/atom
**Raw total energy**: -26.059 eV/atom

=====

Entry 2:
# Ho2TeO2

A PBEsol-optimized structure of Ho2TeO2 (meta-GGA SCAN, Alexandria).

Unit cell a=3.835 b=3.835 c=7.110 alpha=90.00 beta=90.00 gamma=120.00
Atoms (fractional coordinates):
Ho1 0.333 0.667 0.305
Ho2 0.667 0.333 0.695
Te1 0.000 0.000 0.000
O1 0.333 0.667 0.620
O2 0.667 0.333 0.380

Values from the calculation:
**Formation energy without anion corrections**: -1529 kJ/mol of formula units
**Raw total energy**: -32.708 eV/atom

=====

Entry 3:
# Li3Mn4SnO8

A PBEsol-optimized structure of Li3Mn4SnO8 (meta-GGA SCAN, Alexandria).

Unit cell a=6.057 b=6.057 c=6.100 alpha=119.44 beta=119.44 gamma=60.68
Atoms (fractional coordinates):
Li1 0.000 0.000 0.000
Li2 0.000 0.500 0.500
Li3 0.500 0.000 0.500
Mn1 0.000 0.000 0.500
Mn2 0.000 0.500 0.000
Mn3 0.500 0.000 0.000
Mn4 0.500 0.500 0.000
Sn1 0.500 0.500 0.500
O1 0.250 0.250 0.767
O2 0.250 0.736 0.736
O3 0.259 0.259 0.248
O4 0.264 0.750 0.264
O5 0.736 0.250 0.736
O6 0.741 0.741 0.752
O7 0.750 0.264 0.264
O8 0.750 0.750 0.233

Values from the calculation:
**Formation energy without anion corrections**: -3113 kJ/mol of formula units
**Raw total energy**: -12.389 eV/atom

=====

Entry 4:
# LiZr2P3O12

A PBEsol-optimized structure of LiZr2P3O12 (meta-GGA SCAN, Alexandria).

Unit cell a=8.749 b=8.804 c=9.144 alpha=118.59 beta=90.72 gamma=118.96
Atoms (fractional coordinates):
Li1 0.238 0.190 0.387
Li2 0.762 0.810 0.613
Zr1 0.142 0.783 0.429
Zr2 0.366 0.210 0.065
Zr3 0.634 0.790 0.935
Zr4 0.858 0.217 0.571
P1 0.030 0.273 0.253
P2 0.253 0.282 0.738
P3 0.457 0.991 0.244
P4 0.543 0.009 0.756
P5 0.747 0.718 0.262
P6 0.970 0.727 0.747
O1 0.020 0.233 0.402
O2 0.051 0.479 0.315
O3 0.073 0.274 0.731
O4 0.140 0.905 0.909
O5 0.206 0.285 0.214
O6 0.230 0.105 0.558
O7 0.299 0.262 0.888
O8 0.306 0.841 0.282
O9 0.356 0.878 0.616
O10 0.404 0.138 0.250
O11 0.410 0.488 0.768
O12 0.468 0.866 0.062
O13 0.532 0.134 0.938
O14 0.590 0.512 0.232
O15 0.596 0.862 0.750
O16 0.644 0.122 0.384
O17 0.694 0.159 0.718
O18 0.701 0.738 0.112
O19 0.770 0.895 0.442
O20 0.794 0.715 0.786
O21 0.860 0.095 0.091
O22 0.927 0.726 0.269
O23 0.949 0.521 0.685
O24 0.980 0.767 0.598

Values from the calculation:
**Relative energy among the computed polymorphs**: 6 meV per atom
**Formation energy without anion corrections**: -5221 kJ/mol of formula units
**Raw total energy**: -12.437 eV/atom

=====

Which value of raw total energy does entry 1 give?
-26.059 eV/atom

=====

Which value of raw total energy does entry 4 give?
-12.437 eV/atom

=====

The highest raw total energy belongs to which entry?
Li3Mn4SnO8

=====

What is the raw total energy in the first record?
-26.059 eV/atom